# YReRh4

YReRh4 after structural relaxation (GGA-PBE, the Alexandria database).

a b c (Å): 5.188 5.188 5.188
angles (deg): 60.00 60.00 60.00
Atoms (fractional coordinates):
Rh  0.876  0.375  0.375
Rh  0.375  0.375  0.375
Rh  0.375  0.375  0.876
Rh  0.375  0.876  0.375
Y  0.750  0.750  0.750
Re  0.000  0.000  0.000

crystal system = cubic
spin magnetization = 0.0 μB/f.u.
space group = F-43m
E_form = 0.0208 eV per atom

***

# Nd2HoTh3Te6

Nd2HoTh3Te6 after structural relaxation (GGA-PBE, the Alexandria database).

a b c (Å): 4.348 9.142 10.193
angles (deg): 108.38 102.31 90.00
Atoms (fractional coordinates):
Te  0.002  0.761  0.003
Te  0.333  0.417  0.665
Te  0.667  0.583  0.335
Te  0.661  0.083  0.322
Te  0.339  0.917  0.678
Te  0.998  0.239  0.997
Nd  0.167  0.335  0.334
Nd  0.833  0.665  0.666
Th  0.829  0.162  0.658
Th  0.500  0.500  0.000
Th  0.171  0.838  0.342
Ho  0.500  0.000  0.000

crystal system = monoclinic
spin magnetization = 0.0 μB/f.u.
ΔE_f (raw) = -1173 meV per atom
space group = C2/m

***

# Tl2CuSe2O6

Tl2CuSe2O6 after structural relaxation (GGA-PBE, the Alexandria database).

a b c (Å): 5.355 6.887 8.125
angles (deg): 124.57 90.00 112.88
Last column: magnetic moment on the atom in μB.
Atoms (fractional coordinates):
Cu  0.500  0.000  0.500  0.54
Tl  0.300  0.600  0.751  0.00
Tl  0.700  0.400  0.249  0.00
O  0.155  0.807  0.276  0.08
O  0.349  0.193  0.724  0.08
O  0.651  0.807  0.276  0.08
O  0.123  0.247  0.358  0.02
O  0.877  0.753  0.642  0.02
O  0.845  0.193  0.724  0.08
Se  0.952  0.905  0.201  0.02
Se  0.048  0.095  0.799  0.02

crystal system = monoclinic
spin magnetization = 1.0 μB/f.u.
ΔE_f (raw) = -762 meV per atom
space group = C2/m